# 1
The following is a DFT calculation (GGA-PBE) of crystalline SbTeO4 at its relaxed geometry.

Values from the calculation:
volume: 88 Å³/f.u.
formation energy (no corrections): -1.039 eV per atom
total magnetic moment: 0.0 μB per cell
calculated total energy: -66.66 eV per cell
space group: No. 30

Unit cell a=5.4309 b=5.5781 c=5.8366 alpha=90.00 beta=90.00 gamma=90.00
Last column: nearest neighbours and their distance in Å.
Positions (direct):
Sb (0.0000, 0.0000, 0.0000)  6 O 2.12-2.32
Sb (0.0000, 0.5000, 0.5000)  6 O 2.12-2.32
Te (0.5000, 0.0000, 0.3200)  4 O 1.99-2.19
Te (0.5000, 0.5000, 0.8200)  4 O 1.99-2.19
O (0.1674, 0.2134, 0.2563)  2 Sb 2.12-2.32, 1 Te 2.19
O (0.1674, 0.2866, 0.7563)  2 Sb 2.12-2.32, 1 Te 2.19
O (0.3273, 0.6893, 0.5806)  1 Te 1.99, 1 Sb 2.12
O (0.3273, 0.8107, 0.0806)  1 Te 1.99, 1 Sb 2.12
O (0.6727, 0.1893, 0.0806)  1 Te 1.99, 1 Sb 2.12
O (0.6727, 0.3107, 0.5806)  1 Te 1.99, 1 Sb 2.12
O (0.8326, 0.7134, 0.7563)  2 Sb 2.12-2.32, 1 Te 2.19
O (0.8326, 0.7866, 0.2563)  2 Sb 2.12-2.32, 1 Te 2.19

***

# 2
The following is a DFT calculation (GGA-PBE) of crystalline InAgP2 at its relaxed geometry.

Values from the calculation:
volume: 98 Å³/f.u.
total magnetic moment: 0.0 μB per cell
calculated total energy: -61.51 eV per cell
space group: No. 33
formation enthalpy at 0 K: 25 kJ per mole of atoms

Unit cell a=6.9583 b=8.0482 c=6.9670 alpha=90.00 beta=90.00 gamma=90.00
Last column: nearest neighbours and their distance in Å.
Positions (direct):
In (0.0904, 0.1228, 0.0000)  4 P 2.58-2.60
In (0.4096, 0.6228, 0.5000)  4 P 2.58-2.60
In (0.5904, 0.3772, 0.0000)  4 P 2.58-2.60
In (0.9096, 0.8772, 0.5000)  4 P 2.58-2.60
Ag (0.0874, 0.6279, 0.0084)  4 P 2.43-2.47
Ag (0.4126, 0.1279, 0.5084)  4 P 2.43-2.47
Ag (0.5874, 0.8721, 0.0084)  4 P 2.43-2.47
Ag (0.9126, 0.3721, 0.5084)  4 P 2.43-2.47
P (0.0665, 0.6128, 0.3596)  2 Ag 2.44-2.45, 2 In 2.58
P (0.0916, 0.1353, 0.3697)  2 Ag 2.43-2.47, 2 In 2.58-2.60
P (0.4084, 0.6353, 0.8697)  2 Ag 2.43-2.47, 2 In 2.58-2.60
P (0.4335, 0.1128, 0.8596)  2 Ag 2.44-2.45, 2 In 2.58
P (0.5665, 0.8872, 0.3596)  2 Ag 2.44-2.45, 2 In 2.58
P (0.5916, 0.3647, 0.3697)  2 Ag 2.43-2.47, 2 In 2.58-2.60
P (0.9084, 0.8647, 0.8697)  2 Ag 2.43-2.47, 2 In 2.58-2.60
P (0.9335, 0.3872, 0.8596)  2 Ag 2.44-2.45, 2 In 2.58

***

# 3
The following is a DFT calculation (GGA-PBE) of crystalline Rb4I2N at its relaxed geometry.

Values from the calculation:
volume: 304 Å³/f.u.
formation energy (no corrections): -0.582 eV per atom
total magnetic moment: 1.0 μB per cell
calculated total energy: -19.37 eV per cell
space group: No. 139

Unit cell a=10.3538 b=10.3538 c=10.3538 alpha=148.40 beta=148.40 gamma=45.29
Last column: nearest neighbours and their distance in Å.
Positions (direct):
Rb (0.0000, 0.5000, 0.5000)  2 N 2.82
Rb (0.1551, 0.1551, 0.0000)  1 N 2.96
Rb (0.5000, 0.0000, 0.5000)  2 N 2.82
Rb (0.8449, 0.8449, 0.0000)  1 N 2.96
I (0.3551, 0.3551, 0.0000)  9 Rb 3.82-3.99
I (0.6449, 0.6449, 0.0000)  9 Rb 3.82-3.99
N (0.0000, 0.0000, 0.0000)  6 Rb 2.82-2.96

***

# 4
The following is a DFT calculation (GGA-PBE) of crystalline Sm3ZnSb at its relaxed geometry.

Values from the calculation:
volume: 144 Å³/f.u.
formation energy (no corrections): -0.533 eV per atom
total magnetic moment: 0.0 μB per cell
calculated total energy: -44.44 eV per cell
space group: No. 12

Unit cell a=8.2379 b=8.2379 c=8.7053 alpha=90.89 beta=90.89 gamma=29.27
Last column: nearest neighbours and their distance in Å.
Positions (direct):
Sm (0.0424, 0.0424, 0.1964)  4 Sb 3.32-3.35, 1 Zn 3.37, 1 Sm 3.66
Sm (0.2476, 0.2476, 0.8125)  3 Zn 3.06-3.35, 3 Sb 3.19-3.21
Sm (0.4016, 0.4016, 0.4456)  3 Zn 2.96-3.03, 1 Sb 3.25, 1 Sm 3.26
Sm (0.5984, 0.5984, 0.5544)  3 Zn 2.96-3.03, 1 Sb 3.25, 1 Sm 3.26
Sm (0.7524, 0.7524, 0.1875)  3 Zn 3.06-3.35, 3 Sb 3.19-3.21
Sm (0.9576, 0.9576, 0.8036)  4 Sb 3.32-3.35, 1 Zn 3.37, 1 Sm 3.66
Zn (0.2117, 0.2117, 0.4326)  2 Zn 2.67, 2 Sm 2.96
Zn (0.7883, 0.7883, 0.5674)  2 Zn 2.67, 2 Sm 2.96
Sb (0.3912, 0.3912, 0.0723)  8 Sm 3.19-3.35
Sb (0.6088, 0.6088, 0.9277)  8 Sm 3.19-3.35